## one
Density functional theory data (SCAN) for a PBEsol-optimized structure of TlCdBr3.

abc: 5.3902 5.3902 5.3902
angles: 90.00 90.00 90.00
Element x y z (fractional)
Tl 0.0000 0.0000 0.0000
Cd 0.5000 0.5000 0.5000
Br 0.0000 0.5000 0.5000
Br 0.5000 0.0000 0.5000
Br 0.5000 0.5000 0.0000

## two
Density functional theory data (SCAN) for a PBEsol-optimized structure of TlCdBr3.

abc: 9.2852 4.0948 15.1705
angles: 90.00 90.00 90.00
Element x y z (fractional)
Tl 0.0614 0.2500 0.1767
Tl 0.4386 0.7500 0.6767
Tl 0.5614 0.2500 0.3233
Tl 0.9386 0.7500 0.8233
Cd 0.1682 0.7500 0.4437
Cd 0.3318 0.2500 0.9437
Cd 0.6682 0.7500 0.0563
Cd 0.8318 0.2500 0.5563
Br 0.0234 0.7500 0.6057
Br 0.1619 0.7500 0.0078
Br 0.2096 0.2500 0.7843
Br 0.2904 0.7500 0.2843
Br 0.3381 0.2500 0.5078
Br 0.4766 0.2500 0.1057
Br 0.5234 0.7500 0.8943
Br 0.6619 0.7500 0.4922
Br 0.7096 0.2500 0.7157
Br 0.7904 0.7500 0.2157
Br 0.8381 0.2500 0.9922
Br 0.9766 0.2500 0.3943

Here is how they stack up, most stable first: two, one.

## one
Density functional theory data (SCAN) for a PBEsol-optimized structure of CdWBr2.

abc: 6.9791 6.9791 6.9791
angles: 154.77 137.70 49.89
Element x y z (fractional)
Cd 0.0000 0.0000 0.0000
W 0.5000 0.5000 0.0000
Br 0.3371 0.8371 0.5000
Br 0.6629 0.1629 0.5000

## two
Density functional theory data (SCAN) for a PBEsol-optimized structure of CdWBr2.

abc: 3.0979 4.6092 5.8289
angles: 90.00 90.00 90.00
Element x y z (fractional)
Cd 0.0000 0.0000 0.0000
W 0.5000 0.0000 0.5000
Br 0.0000 0.5000 0.5000
Br 0.5000 0.5000 0.0000

## three
Density functional theory data (SCAN) for a PBEsol-optimized structure of CdWBr2.

abc: 4.7484 4.7484 4.7484
angles: 60.00 60.00 60.00
Element x y z (fractional)
Cd 0.0000 0.0000 0.0000
W 0.5000 0.5000 0.5000
Br 0.2500 0.2500 0.2500
Br 0.7500 0.7500 0.7500

Here is how they stack up, most stable first: one, two, three.

## one
Density functional theory data (SCAN) for a PBEsol-optimized structure of Zn2CdBr.

abc: 4.9702 4.9702 4.9702
angles: 60.00 60.00 60.00
Element x y z (fractional)
Zn 0.2500 0.2500 0.2500
Zn 0.7500 0.7500 0.7500
Cd 0.0000 0.0000 0.0000
Br 0.5000 0.5000 0.5000

## two
Density functional theory data (SCAN) for a PBEsol-optimized structure of Zn2CdBr.

abc: 7.9815 7.9815 7.9815
angles: 25.17 25.17 25.17
Element x y z (fractional)
Zn 0.0000 0.0000 0.0000
Zn 0.2635 0.2635 0.2635
Cd 0.5151 0.5151 0.5151
Br 0.7463 0.7463 0.7463

Here is how they stack up, most stable first: two, one.

## one
Density functional theory data (SCAN) for a PBEsol-optimized structure of Zn2CdBr.

abc: 3.2089 3.3757 7.4713
angles: 90.00 90.00 90.00
Element x y z (fractional)
Zn 0.0000 0.0000 0.2239
Zn 0.0000 0.0000 0.7761
Cd 0.5000 0.5000 0.0000
Br 0.0000 0.5000 0.5000

## two
Density functional theory data (SCAN) for a PBEsol-optimized structure of Zn2CdBr.

abc: 3.3095 4.7305 5.4147
angles: 90.00 90.00 90.00
Element x y z (fractional)
Zn 0.0000 0.0000 0.0000
Zn 0.5000 0.5000 0.0000
Cd 0.0000 0.5000 0.5000
Br 0.5000 0.0000 0.5000

Here is how they stack up, most stable first: one, two.

## one
Density functional theory data (SCAN) for a PBEsol-optimized structure of BrCl5.

abc: 4.9051 4.9051 10.3034
angles: 99.88 99.88 46.85
Element x y z (fractional)
Br 0.0000 0.0000 0.0000
Cl 0.0972 0.0972 0.6435
Cl 0.3224 0.3224 0.6661
Cl 0.4307 0.4307 0.3155
Cl 0.6558 0.6558 0.3383
Cl 0.7554 0.7554 0.9870

## two
Density functional theory data (SCAN) for a PBEsol-optimized structure of BrCl5.

abc: 4.4467 10.4954 10.4954
angles: 21.59 90.00 90.00
Element x y z (fractional)
Br 0.0000 0.0000 0.0000
Cl 0.0000 0.3396 0.3396
Cl 0.0000 0.6717 0.6717
Cl 0.5000 0.0360 0.0360
Cl 0.5000 0.3649 0.3649
Cl 0.5000 0.6969 0.6969

Here is how they stack up, most stable first: one, two.

## one
Density functional theory data (SCAN) for a PBEsol-optimized structure of BrCl.

abc: 3.1749 3.1749 4.1853
angles: 90.00 90.00 90.00
Element x y z (fractional)
Br 0.0000 0.0000 0.0000
Cl 0.5000 0.5000 0.5000

## two
Density functional theory data (SCAN) for a PBEsol-optimized structure of BrCl.

abc: 3.6289 3.6289 6.6692
angles: 90.00 90.00 90.00
Element x y z (fractional)
Br 0.2500 0.2500 0.1194
Br 0.7500 0.7500 0.8806
Cl 0.2500 0.2500 0.6500
Cl 0.7500 0.7500 0.3500

## three
Density functional theory data (SCAN) for a PBEsol-optimized structure of BrCl.

abc: 6.8500 6.8500 6.8500
angles: 35.76 35.76 35.76
Element x y z (fractional)
Br 0.1268 0.1268 0.1268
Br 0.8732 0.8732 0.8732
Cl 0.3799 0.3799 0.3799
Cl 0.6201 0.6201 0.6201

## four
Density functional theory data (SCAN) for a PBEsol-optimized structure of BrCl.

abc: 4.0797 4.0797 7.6834
angles: 90.00 90.00 70.78
Element x y z (fractional)
Br 0.0000 0.0000 0.0000
Br 0.0000 0.0000 0.5000
Cl 0.2987 0.7013 0.7500
Cl 0.7013 0.2987 0.2500

Here is how they stack up, most stable first: four, three, two, one.

## one
Density functional theory data (SCAN) for a PBEsol-optimized structure of BrCl2.

abc: 4.9381 4.9381 10.5135
angles: 100.16 100.16 46.64
Element x y z (fractional)
Br 0.0469 0.0469 0.3225
Br 0.9531 0.9531 0.6775
Cl 0.2895 0.2895 0.3334
Cl 0.3883 0.3883 0.9885
Cl 0.6117 0.6117 0.0115
Cl 0.7105 0.7105 0.6666

## two
Density functional theory data (SCAN) for a PBEsol-optimized structure of BrCl2.

abc: 4.6030 4.6030 3.3551
angles: 90.00 90.00 90.00
Element x y z (fractional)
Br 0.0000 0.0000 0.0000
Cl 0.0000 0.5000 0.5000
Cl 0.5000 0.0000 0.5000

Here is how they stack up, most stable first: one, two.

## one
Density functional theory data (SCAN) for a PBEsol-optimized structure of CoBrCl2.

abc: 3.0055 3.0055 9.0133
angles: 90.00 90.00 90.00
Element x y z (fractional)
Co 0.0000 0.0000 0.0000
Br 0.5000 0.5000 0.1855
Cl 0.0000 0.0000 0.5103
Cl 0.5000 0.5000 0.8467

## two
Density functional theory data (SCAN) for a PBEsol-optimized structure of CoBrCl2.

abc: 5.7063 5.7063 5.7063
angles: 147.40 117.42 72.37
Element x y z (fractional)
Co 0.0000 0.0000 0.0000
Br 0.1772 0.6772 0.5000
Cl 0.4978 0.4978 0.0000
Cl 0.8400 0.3400 0.5000

## three
Density functional theory data (SCAN) for a PBEsol-optimized structure of CoBrCl2.

abc: 7.4763 7.4763 7.4763
angles: 26.57 26.57 26.57
Element x y z (fractional)
Co 0.0000 0.0000 0.0000
Br 0.7268 0.7268 0.7268
Cl 0.2787 0.2787 0.2787
Cl 0.4887 0.4887 0.4887

## four
Density functional theory data (SCAN) for a PBEsol-optimized structure of CoBrCl2.

abc: 4.8962 4.8962 3.1222
angles: 90.00 90.00 90.00
Element x y z (fractional)
Co 0.0000 0.0000 0.0000
Br 0.5000 0.5000 0.0000
Cl 0.0000 0.5000 0.5000
Cl 0.5000 0.0000 0.5000

Here is how they stack up, most stable first: two, three, one, four.

## one
Density functional theory data (SCAN) for a PBEsol-optimized structure of Cr2BrCl.

abc: 3.6449 3.7235 6.3919
angles: 90.00 91.00 90.00
Element x y z (fractional)
Cr 0.1233 0.0000 0.2664
Cr 0.8767 0.0000 0.7336
Br 0.5000 0.5000 0.5000
Cl 0.0000 0.5000 0.0000

## two
Density functional theory data (SCAN) for a PBEsol-optimized structure of Cr2BrCl.

abc: 3.7005 3.7005 6.3975
angles: 90.00 90.00 90.00
Element x y z (fractional)
Cr 0.0000 0.0000 0.0000
Cr 0.5000 0.5000 0.4285
Br 0.0000 0.0000 0.5745
Cl 0.5000 0.5000 0.0335

## three
Density functional theory data (SCAN) for a PBEsol-optimized structure of Cr2BrCl.

abc: 2.8519 2.8519 7.8184
angles: 90.00 90.00 90.00
Element x y z (fractional)
Cr 0.0000 0.0000 0.0000
Cr 0.5000 0.5000 0.2248
Br 0.0000 0.0000 0.4092
Cl 0.5000 0.5000 0.8304

Here is how they stack up, most stable first: two, one, three.

## one
Density functional theory data (SCAN) for a PBEsol-optimized structure of CrBrCl2.

abc: 6.3438 6.3438 6.3438
angles: 99.74 99.74 131.43
Element x y z (fractional)
Cr 0.0000 0.0000 0.0000
Cr 0.7500 0.2500 0.5000
Br 0.2500 0.7500 0.5000
Br 0.5000 0.5000 0.0000
Cl 0.3750 0.2454 0.3704
Cl 0.7546 0.1250 0.1296
Cl 0.8750 0.0046 0.6296
Cl 0.9954 0.6250 0.8704

## two
Density functional theory data (SCAN) for a PBEsol-optimized structure of CrBrCl2.

abc: 9.9412 9.9412 9.9412
angles: 19.68 19.68 19.68
Element x y z (fractional)
Cr 0.0000 0.0000 0.0000
Br 0.5000 0.5000 0.5000
Cl 0.3816 0.3816 0.3816
Cl 0.6184 0.6184 0.6184

Here is how they stack up, most stable first: one, two.

## one
Density functional theory data (SCAN) for a PBEsol-optimized structure of Cu3BrCl.

abc: 4.6733 4.6733 4.6733
angles: 90.00 90.00 90.00
Element x y z (fractional)
Cu 0.0000 0.0000 0.5000
Cu 0.0000 0.5000 0.0000
Cu 0.5000 0.0000 0.0000
Br 0.0000 0.0000 0.0000
Cl 0.5000 0.5000 0.5000

## two
Density functional theory data (SCAN) for a PBEsol-optimized structure of Cu3BrCl.

abc: 4.5077 4.5077 4.5077
angles: 90.00 90.00 90.00
Element x y z (fractional)
Cu 0.0000 0.0000 0.5000
Cu 0.0000 0.5000 0.0000
Cu 0.5000 0.0000 0.0000
Br 0.5000 0.5000 0.5000
Cl 0.0000 0.0000 0.0000

Here is how they stack up, most stable first: two, one.